# 1
{"formula": "NaTbTm2Te4", "functional": "PBE-GGA", "state": "relaxed", "cell": [[7.589, 0.000, 0.000], [0.000, 4.319, 0.000], [-2.450, 0.000, 7.187]], "species": ["Na", "Tb", "Tm", "Tm", "Te", "Te", "Te", "Te"], "fractional_positions": [[0.000, 0.000, 0.000], [0.000, 0.500, 0.500], [0.500, 0.000, 0.500], [0.500, 0.500, 0.000], [0.256, 0.000, 0.753], [0.258, 0.500, 0.254], [0.742, 0.500, 0.746], [0.744, 0.000, 0.247]], "energy_ev_per_atom": -4.70, "formation_energy_uncorrected_ev_per_atom": -1.27}

# 2
{"formula": "Sc2Ga8Cu", "functional": "PBE-GGA", "state": "relaxed", "cell": [[4.216, 0.000, 0.000], [0.000, 4.216, 0.000], [0.000, 0.000, 10.733]], "species": ["Sc", "Sc", "Ga", "Ga", "Ga", "Ga", "Ga", "Ga", "Ga", "Ga", "Cu"], "fractional_positions": [[0.000, 0.000, 0.188], [0.000, 0.000, 0.812], [0.000, 0.500, 0.000], [0.000, 0.500, 0.371], [0.000, 0.500, 0.629], [0.500, 0.000, 0.000], [0.500, 0.000, 0.371], [0.500, 0.000, 0.629], [0.500, 0.500, 0.193], [0.500, 0.500, 0.807], [0.000, 0.000, 0.500]], "energy_ev_per_atom": -4.10, "ef_mev_per_atom": -372.9}

# 3
{"formula": "Nd3SmHo5", "functional": "PBE-GGA", "state": "relaxed", "cell": [[7.696, -5.666, 0.000], [7.696, 5.666, 0.000], [-6.502, 0.000, 7.610]], "species": ["Nd", "Nd", "Nd", "Nd", "Nd", "Nd", "Sm", "Sm", "Ho", "Ho", "Ho", "Ho", "Ho", "Ho", "Ho", "Ho", "Ho", "Ho"], "fractional_positions": [[0.000, 0.000, 0.000], [0.008, 0.008, 0.308], [0.476, 0.476, 0.137], [0.500, 0.500, 0.500], [0.524, 0.524, 0.863], [0.992, 0.992, 0.692], [0.253, 0.253, 0.097], [0.747, 0.747, 0.903], [0.095, 0.594, 0.748], [0.217, 0.217, 0.723], [0.242, 0.758, 0.500], [0.277, 0.277, 0.461], [0.406, 0.905, 0.252], [0.594, 0.095, 0.748], [0.723, 0.723, 0.539], [0.758, 0.242, 0.500], [0.783, 0.783, 0.277], [0.905, 0.406, 0.252]], "energy_ev_per_atom": -4.14, "ef_mev_per_atom": 513.2, "de_polymorph_ev_per_atom": 0.2250}